Entry from Alexandria via LeMat-Bulk: a relaxed Te3Rh5 crystal (PBE).

a = 7.848 Å, b = 7.848 Å, c = 5.557 Å
α = 90.00°, β = 90.00°, γ = 120.00°
Fractional coordinates of all 16 atoms:
Te (0.000, 0.305, 0.250)
Te (0.000, 0.695, 0.750)
Te (0.305, 0.000, 0.250)
Te (0.305, 0.305, 0.750)
Te (0.695, 0.000, 0.750)
Te (0.695, 0.695, 0.250)
Rh (0.000, 0.367, 0.750)
Rh (0.000, 0.633, 0.250)
Rh (0.333, 0.667, 0.000)
Rh (0.333, 0.667, 0.500)
Rh (0.367, 0.000, 0.750)
Rh (0.367, 0.367, 0.250)
Rh (0.633, 0.000, 0.250)
Rh (0.633, 0.633, 0.750)
Rh (0.667, 0.333, 0.000)
Rh (0.667, 0.333, 0.500)

Output
E in eV/atom: -5.90
Space group: No. 193
Formation energy without anion corrections in eV per formula unit: -1.0
Energy relative to the lowest polymorph listed for this composition in meV per atom: 1
Crystal system: hexagonal